LiAlSi2H2O7, relaxed, DFT PBE; uncorrected energy = -6.8562 eV/atom; density = 2.22 Mg/m³; energy above the most stable polymorph in this dataset = 0.0000 eV/atom; spin magnetization = 0.00 μB per formula unit; space-group type = P1
1.0
-2.4966 8.1794 -1.6619
-2.8196 -0.0254 4.1273
6.3590 -0.5873 4.3232
O Al Li Si H
14 2 2 4 4
Direct
0.8430 0.8333 0.6751
0.4416 0.6769 0.0215
0.0709 0.7082 0.0283
0.0671 0.9866 0.5393
0.9455 0.4860 0.4904
0.2700 0.3967 0.7079
0.5482 0.1958 0.9707
0.5880 0.3286 0.5588
0.4056 0.8285 0.4177
0.7372 0.7405 0.9402
0.9149 0.1854 0.9579
0.2706 0.2446 0.0450
0.7427 0.8940 0.3074
0.1591 0.3321 0.3376
0.6225 0.8743 0.0636
0.1010 0.3667 0.0949
0.3023 0.8682 0.1284
0.6881 0.3657 0.8489
0.8949 0.8669 0.9034
0.3814 0.3751 0.9388
0.8985 0.8032 0.4984
0.1096 0.3016 0.5150
0.4737 0.6640 0.4657
0.6793 0.3099 0.5170
0.3142 0.8114 0.4591
0.5183 0.1658 0.5085

=====

LiAlPH, relaxed, DFT PBE; uncorrected energy = -4.0620 eV/atom; density = 1.53 Mg/m³; energy above the most stable polymorph in this dataset = 0.0033 eV/atom; spin magnetization = 0.00 μB per formula unit; space-group type = Cm
1.0
-1.3490 -5.0122 3.2065
3.6992 -0.6452 0.5477
0.3152 5.2004 3.9972
Al Li H P
2 2 2 2
Direct
0.1038 0.5000 0.4013
0.1038 0.0000 0.9013
0.6991 0.0000 0.1065
0.6991 0.5000 0.6065
0.3871 0.5000 0.4894
0.3871 0.0000 0.9894
0.9430 0.0000 0.5168
0.9430 0.5000 0.0168

=====

LiAlPH, relaxed, DFT PBE; uncorrected energy = -4.0468 eV/atom; density = 1.77 Mg/m³; energy above the most stable polymorph in this dataset = 0.0185 eV/atom; spin magnetization = 0.00 μB per formula unit; space-group type = P1
1.0
3.7781 0.0000 0.0000
1.8852 3.2769 0.0000
1.8749 1.0746 5.0029
Li H P Al
1 1 1 1
Direct
0.7312 0.0920 0.7346
0.4344 0.7906 0.6285
0.9363 0.2912 0.1216
0.5452 0.9003 0.2953

=====

LiAlPH, relaxed, DFT PBE; uncorrected energy = -3.9142 eV/atom; density = 1.94 Mg/m³; energy above the most stable polymorph in this dataset = 0.1511 eV/atom; spin magnetization = 0.00 μB per formula unit; space-group type = Cm
1.0
-0.4000 1.8433 -2.9635
-0.3658 -2.7714 -1.6744
-9.7212 0.2468 1.7152
H Li P Al
2 2 2 2
Direct
0.7039 0.0000 0.8664
0.7039 0.5000 0.3664
0.1008 0.0000 0.4147
0.1008 0.5000 0.9147
0.1704 0.5000 0.6314
0.1704 0.0000 0.1314
0.6719 0.5000 0.1975
0.6719 0.0000 0.6975

=====

LiAlPH, relaxed, DFT PBE; uncorrected energy = -3.6426 eV/atom; density = 1.91 Mg/m³; energy above the most stable polymorph in this dataset = 0.4226 eV/atom; spin magnetization = 0.00 μB per formula unit; space-group type = P1
1.0
-1.2840 1.4294 -2.9359
-0.9287 -3.4943 -1.3493
-4.0556 -0.6188 1.4397
Li Al H P
1 1 1 1
Direct
0.1525 0.5105 0.1200
0.6724 0.3173 0.6883
0.2720 0.9510 0.2601
0.6831 0.9424 0.2998

=====

LiAlPH, relaxed, DFT PBE; uncorrected energy = -3.6337 eV/atom; density = 1.84 Mg/m³; energy above the most stable polymorph in this dataset = 0.4316 eV/atom; spin magnetization = 0.00 μB per formula unit; space-group type = P1
1.0
3.5473 0.0009 0.0132
0.8950 3.4310 -0.0006
0.4446 0.3745 4.8833
H Li Al P
1 1 1 1
Direct
0.8691 0.8668 0.4184
0.7081 0.7102 0.9100
0.4273 0.4255 0.4584
0.0827 0.0821 0.2001

=====

LiAlPH, relaxed, DFT PBE; uncorrected energy = -3.9384 eV/atom; density = 1.89 Mg/m³; energy above the most stable polymorph in this dataset = 0.1269 eV/atom; spin magnetization = 0.00 μB per formula unit; space-group type = Pm
1.0
-0.4252 1.6544 2.8960
1.7764 -2.4335 1.6510
4.2914 2.3304 -1.1823
Al H Li P
1 1 1 1
Direct
0.1840 0.0000 0.8863
0.1560 0.0000 0.5524
0.2675 0.5000 0.4136
0.6995 0.5000 0.0148

=====

LiAlPH, relaxed, DFT PBE; uncorrected energy = -3.7568 eV/atom; density = 1.78 Mg/m³; energy above the most stable polymorph in this dataset = 0.3085 eV/atom; spin magnetization = 0.00 μB per formula unit; space-group type = P3m1
1.0
3.7657 0.0000 0.0000
-1.8829 3.2612 0.0000
0.0000 0.0000 5.0029
P Al H Li
1 1 1 1
Direct
0.6667 0.3333 0.9129
0.0000 0.0000 0.6984
0.6667 0.3333 0.2108
0.3333 0.6667 0.2521